1.
Entry from Alexandria via LeMat-Bulk: an optimized crystal structure of Li2Ge (GGA-PBE).

## Properties
As for the total moment: 0.32 μB per formula unit. The symmetry is Fd-3m, No. 227. As for the density of states at the Fermi level: 3.2 states/eV per cell. The formation energy from the elements is -0.01 eV/atom.

Unit cell a=5.1523 b=5.1523 c=5.1523 alpha=60.00 beta=60.00 gamma=60.00
Last column: nearest neighbours and their distance in Å.
Atoms (fractional coordinates):
Li 0.0000 0.0000 0.0000  6 Li 2.58
Li 0.0000 0.0000 0.5000  6 Li 2.58
Li 0.0000 0.5000 0.0000  6 Li 2.58
Li 0.5000 0.0000 0.0000  6 Li 2.58
Ge 0.3750 0.3750 0.3750  12 Li 3.02, 4 Ge 3.16
Ge 0.6250 0.6250 0.6250  12 Li 3.02, 4 Ge 3.16


2.
Entry from Alexandria via LeMat-Bulk: an optimized crystal structure of Li6Ge (GGA-PBE).

## Properties
As for the total moment: 0.00 μB per formula unit. The symmetry is Im-3m, No. 229. As for the density of states at the Fermi level: 4.4 states/eV per cell. The formation energy from the elements is 0.53 eV/atom.

Unit cell a=5.8492 b=5.8492 c=5.8492 alpha=109.47 beta=109.47 gamma=109.47
Last column: nearest neighbours and their distance in Å.
Atoms (fractional coordinates):
Li 0.2500 0.5000 0.7500  4 Li 2.39
Li 0.2500 0.7500 0.5000  4 Li 2.39
Li 0.5000 0.2500 0.7500  4 Li 2.39
Li 0.5000 0.7500 0.2500  4 Li 2.39
Li 0.7500 0.2500 0.5000  4 Li 2.39
Li 0.7500 0.5000 0.2500  4 Li 2.39
Ge 0.0000 0.0000 0.0000  24 Li 3.78


3.
Entry from Alexandria via LeMat-Bulk: an optimized crystal structure of Li5Ge4 (GGA-PBE).

## Properties
Its energy above the lowest structure with this stoichiometry is 0.041 eV per atom. As for the total moment: 0.00 μB per formula unit. The symmetry is C2/m, No. 12. As for the density of states at the Fermi level: 2.5 states/eV per cell. The formation energy from the elements is -0.25 eV/atom.

Unit cell a=4.9144 b=4.9144 c=8.9591 alpha=108.52 beta=108.52 gamma=46.45
Last column: nearest neighbours and their distance in Å.
Atoms (fractional coordinates):
Li 0.0000 0.0000 0.0000  6 Ge 2.76-2.82, 6 Li 2.79-3.06
Li 0.0090 0.0090 0.6621  7 Ge 2.79-2.90, 5 Li 2.80-3.06
Li 0.3389 0.3389 0.7791  5 Li 2.79-2.89, 7 Ge 2.83-2.90
Li 0.6611 0.6611 0.2209  5 Li 2.79-2.89, 7 Ge 2.83-2.90
Li 0.9910 0.9910 0.3379  7 Ge 2.79-2.90, 5 Li 2.80-3.06
Ge 0.3207 0.3207 0.4494  2 Ge 2.65, 8 Li 2.79-2.90
Ge 0.3251 0.3251 0.0970  2 Ge 2.64, 9 Li 2.76-2.90
Ge 0.6749 0.6749 0.9030  2 Ge 2.64, 9 Li 2.76-2.90
Ge 0.6793 0.6793 0.5506  2 Ge 2.65, 8 Li 2.79-2.90